1.
VCoRh2Cl (GGA-PBE, optimized geometry); energy = -26.760 eV per formula unit; formation energy without anion corrections = 6.01 eV/f.u.
1.0
-0.708 -1.429 4.274
-3.753 -1.303 -1.058
1.722 -4.084 -1.080
Co Cl Rh V
1 1 2 1
direct
0.000 0.000 0.000
0.000 0.500 0.000
0.000 0.000 0.500
0.500 0.000 0.000
0.500 0.500 0.500

2.
Pr2Dy9Ho (GGA-PBE, optimized geometry); energy = -55.284 eV per formula unit; ΔE_f = 0.023 eV per atom
1.0
-2.755 1.184 4.060
-4.225 -0.998 -2.576
0.596 -14.406 4.606
Pr Dy Ho
2 9 1
direct
0.000 0.000 0.333
0.000 0.000 0.667
0.500 0.500 0.000
0.500 0.500 0.332
0.500 0.500 0.668
0.500 0.000 0.164
0.500 0.000 0.500
0.500 0.000 0.836
0.000 0.500 0.164
0.000 0.500 0.500
0.000 0.500 0.836
0.000 0.000 0.000

3.
Sm2Ho6Tm3 (GGA-PBE, optimized geometry); energy = -50.071 eV per formula unit; ΔE_f = 0.023 eV per atom
1.0
3.528 0.000 0.216
1.757 3.059 0.216
-0.174 -0.100 31.690
Sm Ho Tm
2 6 3
direct
0.546 0.546 0.362
0.454 0.454 0.638
0.910 0.910 0.270
0.090 0.090 0.730
0.818 0.818 0.545
0.182 0.182 0.455
0.637 0.637 0.090
0.363 0.363 0.910
0.000 0.000 0.000
0.727 0.727 0.820
0.273 0.273 0.180

4.
ScTc2W (GGA-PBE, optimized geometry); energy = -39.827 eV per formula unit; ΔE_f = 0.047 eV per atom
1.0
3.137 0.000 0.000
0.000 4.698 0.000
0.000 0.000 4.341
Sc Tc W
1 2 1
direct
0.000 0.500 0.500
0.000 0.000 0.000
0.500 0.500 0.000
0.500 0.000 0.500

5.
Ba6Ag3Pt (GGA-PBE, optimized geometry); energy = -29.411 eV per formula unit; ΔE_f = -0.328 eV per atom
1.0
8.094 0.000 0.164
0.000 8.949 0.000
0.136 0.000 12.012
Ba Ag Pt
12 6 2
direct
0.682 0.171 0.935
0.661 0.190 0.572
0.651 0.455 0.258
0.349 0.545 0.742
0.339 0.810 0.428
0.318 0.829 0.065
0.182 0.329 0.435
0.161 0.310 0.072
0.151 0.045 0.758
0.849 0.955 0.242
0.839 0.690 0.928
0.818 0.671 0.565
0.552 0.888 0.757
0.500 0.500 0.000
0.448 0.112 0.243
0.052 0.612 0.257
0.000 0.000 0.500
0.948 0.388 0.743
0.500 0.500 0.500
0.000 0.000 0.000

6.
Mg2ZnPt2 (GGA-PBE, optimized geometry); energy = -19.815 eV per formula unit; ΔE_f = -0.654 eV per atom
1.0
-0.543 -4.302 5.120
-4.765 -3.355 -3.325
2.704 -2.250 -1.604
Zn Mg Pt
2 4 4
direct
0.000 0.000 0.000
0.500 0.500 0.000
0.159 0.659 0.500
0.659 0.841 0.500
0.841 0.341 0.500
0.341 0.159 0.500
0.355 0.855 0.000
0.855 0.645 0.000
0.645 0.145 0.000
0.145 0.355 0.000

7.
Cs4K4Cd (GGA-PBE, optimized geometry); energy = -8.572 eV per formula unit; ΔE_f = 0.016 eV per atom
1.0
-6.285 -5.502 4.176
-3.722 -4.456 -11.473
8.753 -9.385 0.806
Cs K Cd
8 8 2
direct
0.641 0.795 0.498
0.641 0.205 0.502
0.141 0.998 0.705
0.859 0.295 0.998
0.859 0.705 0.002
0.359 0.498 0.205
0.359 0.502 0.795
0.141 0.002 0.295
0.327 0.177 0.997
0.827 0.503 0.677
0.327 0.823 0.003
0.173 0.323 0.503
0.673 0.997 0.823
0.173 0.677 0.497
0.827 0.497 0.323
0.673 0.003 0.177
0.000 0.000 0.000
0.500 0.500 0.500

8.
LaSm10Dy4 (GGA-PBE, optimized geometry); energy = -62.747 eV per formula unit; ΔE_f = 0.519 eV per atom
1.0
-5.444 -2.844 2.928
-0.787 -9.261 -2.553
2.329 -3.803 8.545
La Sm Dy
1 10 4
direct
0.000 0.000 0.000
0.250 0.500 0.500
0.624 0.420 0.838
0.957 0.162 0.420
0.538 0.838 0.580
0.881 0.580 0.162
0.376 0.580 0.162
0.750 0.500 0.500
0.119 0.420 0.838
0.462 0.162 0.420
0.043 0.838 0.580
0.433 0.890 0.245
0.678 0.755 0.890
0.322 0.245 0.110
0.567 0.110 0.755

9.
PrTm2Si2Pt7 (GGA-PBE, optimized geometry); energy = -79.320 eV per formula unit; formation energy without anion corrections = -12.47 eV/f.u.
1.0
4.061 0.023 -0.069
0.028 4.061 -0.069
1.793 1.791 13.633
Pr Tm Si Pt
1 2 2 7
direct
0.000 0.000 0.000
0.879 0.879 0.360
0.121 0.121 0.640
0.603 0.603 0.737
0.397 0.397 0.263
0.500 0.500 0.000
0.360 0.360 0.431
0.640 0.640 0.569
0.933 0.433 0.170
0.433 0.933 0.170
0.567 0.067 0.830
0.067 0.567 0.830

10.
Y2HoSc7 (GGA-PBE, optimized geometry); energy = -55.824 eV per formula unit; ΔE_f = 0.600 eV per atom
1.0
4.963 0.000 0.000
0.000 7.471 0.000
0.000 -3.735 8.631
Y Ho Sc
2 1 7
direct
0.500 0.737 0.474
0.500 0.263 0.526
0.000 0.000 0.000
0.000 0.591 0.182
0.000 0.409 0.818
0.500 0.709 0.809
0.500 0.291 0.191
0.500 0.899 0.191
0.500 0.101 0.809
0.500 0.500 0.000

11.
TlHg2Ir (GGA-PBE, optimized geometry); energy = -9.969 eV per formula unit; ΔE_f = 0.466 eV per atom
1.0
-1.817 1.801 -1.648
-1.219 -1.628 2.264
1.929 8.471 7.128
Hg Ir Tl
2 1 1
direct
0.000 0.000 0.014
0.500 0.500 0.283
0.000 0.000 0.494
0.500 0.500 0.708

12.
TlCuBr2 (GGA-PBE, optimized geometry); energy = -11.573 eV per formula unit; formation energy without anion corrections = -1.76 eV/f.u.
1.0
-0.959 -4.515 1.305
1.169 -4.275 -1.837
6.036 -3.546 3.817
Br Cu Tl
2 1 1
direct
0.070 0.070 0.955
0.430 0.430 0.545
0.750 0.750 0.750
0.250 0.250 0.250

13.
LaY2Bi3 (GGA-PBE, optimized geometry); energy = -35.144 eV per formula unit; ΔE_f = -0.941 eV per atom
1.0
-3.824 -2.401 -0.653
1.937 -1.457 -5.991
4.053 -3.666 5.688
La Y Bi
1 2 3
direct
0.000 0.500 0.000
0.665 0.165 0.330
0.335 0.835 0.670
0.327 0.327 0.653
0.000 0.000 0.000
0.673 0.673 0.347

14.
Pu12RuRh6 (GGA-PBE, optimized geometry); energy = -229.489 eV per formula unit; ΔE_f = -0.217 eV per atom
1.0
-0.756 -4.824 -5.423
1.316 -4.973 5.175
-7.137 0.592 1.404
Pu Ru Rh
12 1 6
direct
0.823 0.533 0.408
0.408 0.823 0.533
0.533 0.408 0.823
0.177 0.467 0.592
0.592 0.177 0.467
0.467 0.592 0.177
0.078 0.150 0.392
0.850 0.608 0.922
0.608 0.922 0.850
0.922 0.850 0.608
0.150 0.392 0.078
0.392 0.078 0.150
0.000 0.000 0.000
0.742 0.892 0.238
0.762 0.258 0.108
0.108 0.762 0.258
0.258 0.108 0.762
0.238 0.742 0.892
0.892 0.238 0.742

15.
Pm2DyRh9 (GGA-PBE, optimized geometry); energy = -86.586 eV per formula unit; ΔE_f = -0.527 eV per atom
1.0
5.284 0.000 0.000
2.642 4.576 0.000
2.642 1.525 8.866
Pm Dy Rh
2 1 9
direct
0.861 0.861 0.416
0.139 0.139 0.584
0.000 0.000 0.000
0.667 0.667 0.999
0.333 0.333 0.001
0.500 0.500 0.500
0.419 0.419 0.244
0.918 0.419 0.244
0.419 0.918 0.244
0.581 0.581 0.756
0.581 0.082 0.756
0.082 0.581 0.756

16.
Rb2ScAuBr6 (GGA-PBE, optimized geometry); energy = -35.002 eV per formula unit; formation energy without anion corrections = -13.42 eV/f.u.
1.0
7.734 0.000 0.000
0.000 7.734 0.000
3.867 3.867 5.652
Sc Au Br Rb
1 1 6 2
direct
0.500 0.500 0.000
0.000 0.000 0.000
0.265 0.265 0.470
0.735 0.735 0.530
0.255 0.255 0.000
0.745 0.745 0.000
0.745 0.255 0.000
0.255 0.745 0.000
0.750 0.250 0.500
0.250 0.750 0.500

17.
LaCdFe2 (GGA-PBE, optimized geometry); energy = -21.716 eV per formula unit; ΔE_f = 0.263 eV per atom
1.0
5.829 0.014 0.137
4.885 3.180 0.137
1.791 0.534 4.338
Cd Fe La
1 2 1
direct
0.271 0.271 0.228
0.039 0.039 0.962
0.703 0.703 0.797
0.488 0.488 0.512